8
Lattice="3.856 0.000 0.000 1.928 7.757 -0.547 1.928 1.812 7.562" Properties=species:S:1:pos:R:3 comment="YTm5Te2 | the Alexandria database | PBE-GGA | relaxed" magnetic_moment_mub_per_cell=0.0 e_tot_ev_per_atom=-4.88 space_group=Immm e_form_raw_ev_per_atom=-0.497 pbc="T T T"
Tm 1.928 4.785 3.508
Tm 3.856 2.189 4.217
Tm 3.856 4.680 0.819
Tm 3.856 4.889 6.197
Tm 3.856 7.381 2.798
Te 5.784 7.359 5.395
Te 1.928 2.210 1.620
Y 0.000 0.000 0.000